A plane-wave DFT calculation with PBEsol was carried out for CaYIr2F after structural relaxation.

Cell: 4.7278 4.7278 6.7039 Å, 90.00 90.00 90.00°
Fractional coordinates of all 5 atoms:
Y  0.0000  0.0000  0.0000
Ca  0.0000  0.0000  0.5000
Ir  0.0000  0.5000  0.0000
Ir  0.5000  0.0000  0.0000
F  0.5000  0.5000  0.5000

Calculated values
Energy relative to the elements, uncorrected ... 0.9881 eV per atom
Space-group type ... P4/mmm
Final energy ... -25.6 eV/f.u.



A plane-wave DFT calculation with PBEsol was carried out for KCaNb2O6F after structural relaxation.

Cell: 7.4027 7.5042 7.5042 Å, 60.44 60.45 60.45°
Fractional coordinates of all 22 atoms:
K  0.0000  0.5000  0.0000
K  0.5000  0.5000  0.0000
Ca  0.5000  0.5000  0.5000
Ca  0.5000  0.0000  0.0000
Nb  0.0000  0.0000  0.0000
Nb  0.0000  0.0000  0.5000
Nb  0.0000  0.5000  0.5000
Nb  0.5000  0.0000  0.5000
O  0.6817  0.6851  0.5597
O  0.0596  0.6904  0.1904
O  0.0734  0.6851  0.5597
O  0.6817  0.0597  0.1851
O  0.9266  0.9403  0.8149
O  0.3184  0.9316  0.4316
O  0.6816  0.0684  0.5684
O  0.0734  0.0597  0.1851
O  0.3183  0.9403  0.8149
O  0.9266  0.3149  0.4403
O  0.9404  0.3096  0.8096
O  0.3183  0.3149  0.4403
F  0.4026  0.3474  0.8474
F  0.5974  0.6526  0.1526

Calculated values
Energy relative to the elements, uncorrected ... -2.7846 eV per atom
Space-group type ... Imma
Final energy ... -89.0 eV/f.u.



A plane-wave DFT calculation with PBEsol was carried out for KCaNiF2 after structural relaxation.

Cell: 4.3370 4.3370 9.2957 Å, 90.00 90.00 90.00°
Fractional coordinates of all 5 atoms:
Ni  0.5000  0.5000  0.5000
Ca  0.0000  0.0000  0.0000
K  0.0000  0.0000  0.5000
F  0.0000  0.5000  0.0000
F  0.5000  0.0000  0.0000

Calculated values
Energy relative to the elements, uncorrected ... -1.4075 eV per atom
Space-group type ... P4/mmm
Final energy ... -20.3 eV/f.u.



A plane-wave DFT calculation with PBEsol was carried out for KCaTlF2 after structural relaxation.

Cell: 5.2029 5.2029 5.9043 Å, 90.00 90.00 90.00°
Fractional coordinates of all 5 atoms:
K  0.5000  0.5000  0.5000
Tl  0.0000  0.0000  0.0000
Ca  0.0000  0.0000  0.5000
F  0.0000  0.5000  0.0000
F  0.5000  0.0000  0.0000

Calculated values
Energy relative to the elements, uncorrected ... -0.9828 eV per atom
Space-group type ... P4/mmm
Final energy ... -14.7 eV/f.u.



A plane-wave DFT calculation with PBEsol was carried out for CaLaF2 after structural relaxation.

Cell: 4.6337 4.6337 4.6337 Å, 60.00 60.00 60.00°
Fractional coordinates of all 4 atoms:
Ca  0.0000  0.0000  0.0000
F  0.2500  0.2500  0.2500
F  0.7500  0.7500  0.7500
La  0.5000  0.5000  0.5000

Calculated values
Energy relative to the elements, uncorrected ... -1.7855 eV per atom
Space-group type ... Fm-3m
Final energy ... -18.5 eV/f.u.



A plane-wave DFT calculation with PBEsol was carried out for CaLaNF2 after structural relaxation.

Cell: 4.0800 4.0800 4.8730 Å, 90.00 90.00 90.00°
Fractional coordinates of all 5 atoms:
N  0.0000  0.0000  0.5000
Ca  0.0000  0.0000  0.0000
F  0.0000  0.5000  0.0000
F  0.5000  0.0000  0.0000
La  0.5000  0.5000  0.5000

Calculated values
Energy relative to the elements, uncorrected ... -2.3513 eV per atom
Space-group type ... P4/mmm
Final energy ... -31.6 eV/f.u.



A plane-wave DFT calculation with PBEsol was carried out for CaLaN2F after structural relaxation.

Cell: 4.1484 4.2743 4.2743 Å, 90.00 90.00 90.00°
Fractional coordinates of all 5 atoms:
N  0.0000  0.0000  0.5000
N  0.0000  0.5000  0.0000
Ca  0.0000  0.0000  0.0000
F  0.5000  0.0000  0.0000
La  0.5000  0.5000  0.5000

Calculated values
Energy relative to the elements, uncorrected ... -0.9983 eV per atom
Space-group type ... P4/mmm
Final energy ... -31.5 eV/f.u.



A plane-wave DFT calculation with PBEsol was carried out for NaCaLaF6 after structural relaxation.

Cell: 3.7211 6.0444 6.0444 Å, 120.00 90.00 90.00°
Fractional coordinates of all 9 atoms:
Na  0.9831  0.0000  0.0000
Ca  0.7436  0.6667  0.3333
F  0.2478  0.3863  0.3010
F  0.2478  0.6990  0.0853
F  0.2478  0.9147  0.6137
F  0.7568  0.6103  0.6908
F  0.7568  0.3092  0.9195
F  0.7568  0.0805  0.3897
La  0.2595  0.3333  0.6667

Calculated values
Energy relative to the elements, uncorrected ... -3.8036 eV per atom
Space-group type ... P3
Final energy ... -54.7 eV/f.u.